1.
{
  "formula": "As2CSeCl",
  "functional": "PBE",
  "state": "optimized geometry",
  "dft_energy_ev_per_fu": -18.195,
  "lattice": [[4.574, 0.000, 0.000], [0.000, 4.574, 0.000], [0.000, 0.000, 4.336]],
  "species": ["As", "As", "C", "Se", "Cl"],
  "frac_coords": [[0.500, 0.000, 0.000], [0.000, 0.500, 0.000], [0.000, 0.000, 0.000], [0.000, 0.000, 0.500], [0.500, 0.500, 0.500]]
}

2.
{
  "formula": "Li2PrHg4",
  "functional": "PBE",
  "state": "optimized geometry",
  "e_form_ev_per_atom": -0.30,
  "lattice": [[-4.061, 2.215, 1.199], [-3.389, -2.359, 2.405], [0.957, 2.358, 8.409]],
  "species": ["Hg", "Hg", "Hg", "Hg", "Li", "Li", "Pr"],
  "frac_coords": [[0.869, 0.869, 0.392], [0.597, 0.597, 0.210], [0.131, 0.131, 0.608], [0.403, 0.403, 0.790], [0.242, 0.242, 0.273], [0.758, 0.758, 0.727], [0.000, 0.000, 0.000]]
}

3.
{
  "formula": "TaTe2As",
  "functional": "PBE",
  "state": "optimized geometry",
  "dft_energy_ev_per_fu": -20.803,
  "lattice": [[5.295, 0.020, 0.050], [-2.019, 4.895, 0.050], [1.093, 1.640, 3.647]],
  "species": ["Te", "Te", "As", "Ta"],
  "frac_coords": [[0.500, 0.500, 0.000], [0.000, 0.000, 0.000], [0.500, 0.000, 0.500], [0.000, 0.500, 0.500]]
}

4.
{
  "formula": "ScTl2Ru",
  "functional": "PBE",
  "state": "optimized geometry",
  "e_form_ev_per_atom": 0.15,
  "lattice": [[-2.601, -2.282, 2.497], [2.639, 0.603, 3.298], [-2.228, 3.742, 1.099]],
  "species": ["Tl", "Tl", "Sc", "Ru"],
  "frac_coords": [[0.500, 0.500, 0.000], [0.000, 0.000, 0.000], [0.000, 0.500, 0.500], [0.500, 0.000, 0.500]]
}

5.
{
  "formula": "ReRuS2Cl",
  "functional": "PBE",
  "state": "optimized geometry",
  "dft_energy_ev_per_fu": -27.148,
  "lattice": [[-3.740, 1.626, 2.012], [-1.151, -4.213, 1.266], [2.564, 0.588, 4.291]],
  "species": ["Re", "S", "S", "Cl", "Ru"],
  "frac_coords": [[0.000, 0.000, 0.000], [0.500, 0.000, 0.000], [0.000, 0.500, 0.000], [0.000, 0.000, 0.500], [0.500, 0.500, 0.500]]
}

6.
{
  "formula": "Mg3NbNi",
  "functional": "PBE",
  "state": "optimized geometry",
  "e_form_ev_per_atom": 1.61,
  "lattice": [[5.295, 0.000, 0.000], [0.000, 5.295, 0.000], [0.000, 0.000, 5.295]],
  "species": ["Mg", "Mg", "Mg", "Ni", "Nb"],
  "frac_coords": [[0.500, 0.000, 0.000], [0.000, 0.000, 0.500], [0.000, 0.500, 0.000], [0.500, 0.500, 0.500], [0.000, 0.000, 0.000]]
}

no.,theoretical density (g/cm³),D(E_F) (states/eV/cell),total magnetic moment (μB per atom)
1,5.057,4.138,0.000
2,9.636,3.847,0.000
3,9.048,2.285,0.000
4,11.266,3.510,0.000
5,6.172,6.461,0.589
6,2.511,10.063,0.815